[1]
A relaxed structure of Na2AsPtO4, computed with GGA-PBE.

Results
Formation energy from raw total energies ... -102.5 kJ per mole of atoms

Lattice parameters (Å, degrees): 5.262 5.262 5.262 108.43 109.99 109.99
Site moments in Bohr magnetons follow the coordinates.
Fractional coordinates of all 8 atoms:
Na 0.500 0.750 0.250  0.00
Na 0.000 0.000 0.000  0.00
As 0.000 0.500 0.500  0.03
Pt 0.500 0.250 0.750  0.70
O 0.677 0.506 0.521  0.05
O 0.015 0.171 0.494  0.05
O 0.985 0.479 0.156  0.05
O 0.323 0.844 0.829  0.05


[2]
A relaxed structure of Tb4Mg5In, computed with GGA-PBE.

Results
Calculated formation energy ... -0.1645 eV per atom

Lattice parameters (Å, degrees): 5.260 6.563 8.362 104.75 108.33 90.00
Fractional coordinates of all 10 atoms:
Tb 0.695 0.309 0.390
Tb 0.098 0.892 0.197
Tb 0.305 0.691 0.610
Tb 0.902 0.108 0.803
Mg 0.300 0.196 0.600
Mg 0.097 0.411 0.195
Mg 0.903 0.589 0.805
Mg 0.500 0.500 0.000
Mg 0.700 0.804 0.400
In 0.500 0.000 0.000


| no. | calculated volume (Å³ per cell) |
| --- | --- |
| 1 | 112.1 |
| 2 | 264.0 |